{
  "formula": "Ce8PaPt2",
  "functional": "PBE-GGA",
  "state": "optimized geometry",
  "dos_at_fermi_per_ev_fu": 33.3,
  "delta_e_f_mev_per_atom": -190,
  "dft_energy_ev_per_fu": -71.139,
  "lattice": [[6.883, -3.709, 0.000], [6.883, 3.709, 0.000], [-1.992, 0.000, 5.717]],
  "species": ["Ce", "Ce", "Ce", "Ce", "Ce", "Ce", "Ce", "Ce", "Pa", "Pt", "Pt"],
  "fractional_positions": [[0.069, 0.069, 0.297], [0.130, 0.674, 0.179], [0.326, 0.870, 0.821], [0.329, 0.329, 0.709], [0.671, 0.671, 0.291], [0.674, 0.130, 0.179], [0.870, 0.326, 0.821], [0.931, 0.931, 0.703], [0.500, 0.500, 0.500], [0.254, 0.254, 0.179], [0.746, 0.746, 0.821]]
}